(1)
A geometry-optimized AcNd2PtN4 structure, computed with PBE.

## Properties
- V: 268.98 Å³ per cell
- Space group: Cmcm, No. 63
- Formation energy from raw total energies: -0.719 eV/atom
- Final energy: -117.47 eV per cell

Cell lengths 3.5995, 6.4488, 12.0672 Å; angles 90.00, 90.00, 106.21 degrees
Closest atoms and distances in Å follow each position.
Element x y z (fractional)
Nd (0.3705, 0.7410, 0.9530)  4 N 2.42-2.61
Nd (0.3705, 0.7410, 0.5470)  4 N 2.42-2.61
Nd (0.6295, 0.2590, 0.0470)  4 N 2.42-2.61
Nd (0.6295, 0.2590, 0.4530)  4 N 2.42-2.61
Pt (0.8450, 0.6900, 0.7500)  4 N 2.09-2.18
Pt (0.1550, 0.3100, 0.2500)  4 N 2.09-2.18
N (0.4439, 0.8878, 0.7500)  2 Pt 2.18
N (0.0000, 0.0000, 0.0000)  4 Nd 2.48
N (0.7254, 0.4509, 0.6276)  1 Pt 2.09
N (0.0000, 0.0000, 0.5000)  4 Nd 2.48
N (0.5561, 0.1122, 0.2500)  2 Pt 2.18
N (0.2746, 0.5491, 0.1276)  1 Pt 2.09
N (0.7254, 0.4509, 0.8724)  1 Pt 2.09
N (0.2746, 0.5491, 0.3724)  1 Pt 2.09
Ac (0.8929, 0.7859, 0.2500)  6 N 2.71-2.75
Ac (0.1071, 0.2141, 0.7500)  6 N 2.71-2.75

---

(2)
A geometry-optimized AcNdPuN3 structure, computed with PBE.

## Properties
- V: 264.18 Å³ per cell
- Space group: P2_1/m, No. 11
- Formation energy from raw total energies: -0.919 eV/atom
- Final energy: -107.39 eV per cell

Cell lengths 3.8034, 7.6618, 9.1116 Å; angles 95.76, 90.00, 90.00 degrees
Closest atoms and distances in Å follow each position.
Element x y z (fractional)
Pu (0.2500, 0.0894, 0.6129)  3 N 2.13-2.24
Pu (0.7500, 0.9106, 0.3871)  3 N 2.13-2.24
N (0.2500, 0.6109, 0.8841)  3 Nd 2.39-2.60, 2 Ac 2.62
N (0.7500, 0.8837, 0.1405)  1 Pu 2.24
N (0.2500, 0.7886, 0.3984)  2 Pu 2.13
N (0.7500, 0.3891, 0.1159)  3 Nd 2.39-2.60, 2 Ac 2.62
N (0.7500, 0.2114, 0.6016)  2 Pu 2.13
N (0.2500, 0.1163, 0.8595)  1 Pu 2.24
Ac (0.2500, 0.1596, 0.1417)  5 N 2.56-2.84
Ac (0.7500, 0.8404, 0.8583)  5 N 2.56-2.84
Nd (0.2500, 0.6208, 0.1474)  4 N 2.39-2.60
Nd (0.7500, 0.3792, 0.8526)  4 N 2.39-2.60

---

(3)
A geometry-optimized Ac2NdPuN4 structure, computed with PBE.

## Properties
- V: 145.64 Å³ per cell
- Space group: P2/m, No. 10
- Formation energy from raw total energies: -1.127 eV/atom
- Final energy: -69.63 eV per cell

Cell lengths 3.7135, 6.3933, 6.4881 Å; angles 109.01, 90.00, 90.00 degrees
Closest atoms and distances in Å follow each position.
Element x y z (fractional)
N (0.0000, 0.2407, 0.7793)  1 Pu 2.42, 2 Nd 2.59, 2 Ac 2.70
N (0.0000, 0.7593, 0.2207)  1 Pu 2.42, 2 Nd 2.59, 2 Ac 2.70
N (0.5000, 0.2262, 0.2154)  2 Pu 2.49, 1 Nd 2.57, 1 Ac 2.69
N (0.5000, 0.7738, 0.7846)  2 Pu 2.49, 1 Nd 2.57, 1 Ac 2.69
Pu (0.0000, 0.0000, 0.0000)  6 N 2.42-2.49
Ac (0.0000, 0.5000, 0.5000)  6 N 2.80-2.83
Ac (0.5000, 0.0000, 0.5000)  6 N 2.69-2.70
Nd (0.5000, 0.5000, 0.0000)  6 N 2.57-2.59

---

(4)
A geometry-optimized Ac2Nd3PuN6 structure, computed with PBE.

## Properties
- V: 216.56 Å³ per cell
- Space group: C2/m, No. 12
- Formation energy from raw total energies: -1.197 eV/atom
- Final energy: -101.17 eV per cell

Cell lengths 6.4524, 6.4524, 6.3936 Å; angles 99.62, 99.62, 120.28 degrees
Closest atoms and distances in Å follow each position.
Element x y z (fractional)
Nd (0.8418, 0.1582, 0.5000)  4 N 2.48-2.56
Nd (0.1582, 0.8418, 0.5000)  4 N 2.48-2.56
Nd (0.5000, 0.5000, 0.5000)  6 N 2.57-2.70
N (0.6258, 0.9206, 0.7604)  1 Pu 2.39, 2 Nd 2.56-2.57
N (0.3742, 0.0795, 0.2396)  1 Pu 2.39, 2 Nd 2.56-2.57
N (0.9206, 0.6258, 0.7604)  1 Pu 2.39, 2 Nd 2.56-2.57
N (0.0795, 0.3742, 0.2396)  1 Pu 2.39, 2 Nd 2.56-2.57
N (0.2275, 0.2275, 0.7427)  3 Nd 2.48-2.70, 1 Pu 2.54, 2 Ac 2.71
N (0.7725, 0.7725, 0.2573)  3 Nd 2.48-2.70, 1 Pu 2.54, 2 Ac 2.71
Ac (0.6667, 0.3333, 0.0000)  6 N 2.70-2.71
Ac (0.3333, 0.6667, 0.0000)  6 N 2.70-2.71
Pu (0.0000, 0.0000, 0.0000)  6 N 2.39-2.54

---

What is the V in the fourth record?
216.56 Å³ per cell

---

Copy entry 2 word for word.
A geometry-optimized AcNdPuN3 structure, computed with PBE.

## Properties
- V: 264.18 Å³ per cell
- Space group: P2_1/m, No. 11
- Formation energy from raw total energies: -0.919 eV/atom
- Final energy: -107.39 eV per cell

Cell lengths 3.8034, 7.6618, 9.1116 Å; angles 95.76, 90.00, 90.00 degrees
Closest atoms and distances in Å follow each position.
Element x y z (fractional)
Pu (0.2500, 0.0894, 0.6129)  3 N 2.13-2.24
Pu (0.7500, 0.9106, 0.3871)  3 N 2.13-2.24
N (0.2500, 0.6109, 0.8841)  3 Nd 2.39-2.60, 2 Ac 2.62
N (0.7500, 0.8837, 0.1405)  1 Pu 2.24
N (0.2500, 0.7886, 0.3984)  2 Pu 2.13
N (0.7500, 0.3891, 0.1159)  3 Nd 2.39-2.60, 2 Ac 2.62
N (0.7500, 0.2114, 0.6016)  2 Pu 2.13
N (0.2500, 0.1163, 0.8595)  1 Pu 2.24
Ac (0.2500, 0.1596, 0.1417)  5 N 2.56-2.84
Ac (0.7500, 0.8404, 0.8583)  5 N 2.56-2.84
Nd (0.2500, 0.6208, 0.1474)  4 N 2.39-2.60
Nd (0.7500, 0.3792, 0.8526)  4 N 2.39-2.60

---

What is the formula in the fourth record?
Ac2Nd3PuN6

---

formation energy from raw total energies of number 2 (AcNdPuN3)?
-0.919 eV/atom